a | {"formula": "KNaIn3", "functional": "PBE", "state": "optimized geometry", "cell": [[6.159, 0.000, 0.000], [0.000, 6.159, 0.000], [0.000, 0.000, 6.159]], "species": ["K", "Na", "In", "In", "In"], "frac_coords": [[0.000, 0.000, 0.000], [0.500, 0.500, 0.500], [0.000, 0.000, 0.500], [0.000, 0.500, 0.000], [0.500, 0.000, 0.000]], "vol_a3_per_atom": 46.7, "rho_g_cm3": 2.89}

b | {"formula": "KNaIn3", "functional": "PBE", "state": "optimized geometry", "cell": [[3.855, -7.580, 0.000], [3.855, 7.580, 0.000], [0.000, 0.000, 5.523]], "species": ["K", "K", "Na", "Na", "In", "In", "In", "In", "In", "In"], "frac_coords": [[0.100, 0.900, 0.750], [0.900, 0.100, 0.250], [0.500, 0.500, 0.000], [0.500, 0.500, 0.500], [0.129, 0.458, 0.750], [0.295, 0.705, 0.250], [0.458, 0.129, 0.250], [0.542, 0.871, 0.750], [0.705, 0.295, 0.750], [0.871, 0.542, 0.250]], "vol_a3_per_atom": 32.3, "rho_g_cm3": 4.18}

Short version: b is the most stable of them.

a | {"formula": "KNaIn4", "functional": "PBE", "state": "optimized geometry", "cell": [[5.095, 0.000, 0.000], [-2.547, 4.412, 0.000], [0.000, 0.000, 8.324]], "species": ["K", "Na", "In", "In", "In", "In"], "frac_coords": [[0.000, 0.000, 0.000], [0.000, 0.000, 0.500], [0.333, 0.667, 0.298], [0.333, 0.667, 0.702], [0.667, 0.333, 0.298], [0.667, 0.333, 0.702]], "vol_a3_per_atom": 31.2, "rho_g_cm3": 4.63}

b | {"formula": "KNaIn4", "functional": "PBE", "state": "optimized geometry", "cell": [[0.000, 4.499, 4.499], [4.499, 0.000, 4.499], [4.499, 4.499, 0.000]], "species": ["K", "Na", "In", "In", "In", "In"], "frac_coords": [[0.000, 0.000, 0.000], [0.750, 0.750, 0.750], [0.375, 0.375, 0.375], [0.375, 0.375, 0.874], [0.375, 0.874, 0.375], [0.874, 0.375, 0.375]], "vol_a3_per_atom": 30.4, "rho_g_cm3": 4.75}

Short version: a is the most stable of them.